# 1
Computed, not measured: a geometry-optimized MgInAu3 structure at the PBE level of DFT.

a = 5.1784 Å, b = 5.1784 Å, c = 5.1784 Å
α = 90.00°, β = 90.00°, γ = 90.00°
Element x y z (fractional)
1 Au 0.5000 0.0000 0.0000
2 In 0.0000 0.0000 0.0000
3 Mg 0.5000 0.5000 0.5000
4 Au 0.0000 0.5000 0.0000
5 Au 0.0000 0.0000 0.5000

DOS at the Fermi energy = 2.8 states/eV per cell
Theoretical density = 8.73 g/cm3
Energy = -2.48 eV/atom
Formation energy = 358 meV per atom
Spin magnetization = 0.00 μB/f.u.

# 2
Computed, not measured: a geometry-optimized InSeS structure at the PBE level of DFT.

a = 5.0899 Å, b = 3.9560 Å, c = 3.9560 Å
α = 120.00°, β = 90.00°, γ = 90.00°
Element x y z (fractional)
1 S 0.2836 0.3333 0.6667
2 Se 0.7041 0.6667 0.3333
3 In 0.0123 0.0000 0.0000

DOS at the Fermi energy = 2.6 states/eV per cell
Theoretical density = 5.44 g/cm3
Energy = -3.65 eV/atom
Formation energy without anion corrections = -0.6 eV/f.u.
Spin magnetization = 0.00 μB/f.u.

# 3
Computed, not measured: a geometry-optimized TaZnCu2I structure at the PBE level of DFT.

a = 4.4746 Å, b = 5.4414 Å, c = 4.4746 Å
α = 90.00°, β = 90.00°, γ = 90.00°
Site moments in Bohr magnetons follow the coordinates.
Element x y z (fractional)
1 Cu 0.0000 0.0000 0.5000  0.00
2 Zn 0.0000 0.0000 0.0000  -0.01
3 Ta 0.5000 0.5000 0.5000  1.85
4 I 0.0000 0.5000 0.0000  0.01
5 Cu 0.5000 0.0000 0.0000  -0.01

DOS at the Fermi energy = 4.2 states/eV per cell
Theoretical density = 7.63 g/cm3
Energy = -3.21 eV/atom
Formation energy without anion corrections = 6.8 eV/f.u.
Spin magnetization = 2.86 μB/f.u.

# 4
Computed, not measured: a geometry-optimized Y6NiHg structure at the PBE level of DFT.

a = 6.8883 Å, b = 6.8969 Å, c = 7.3181 Å
α = 61.98°, β = 62.03°, γ = 60.02°
Element x y z (fractional)
1 Hg 0.5000 0.5000 0.5000
2 Y 0.7797 0.0439 0.7581
3 Y 0.0447 0.4171 0.7582
4 Y 0.4170 0.7803 0.7581
5 Y 0.2203 0.9561 0.2419
6 Y 0.9553 0.5829 0.2418
7 Y 0.5830 0.2197 0.2419
8 Ni 0.0000 0.0000 0.0000

DOS at the Fermi energy = 12.3 states/eV per cell
Theoretical density = 5.20 g/cm3
Energy = -5.64 eV/atom
Formation energy = -34 meV per atom
Spin magnetization = 0.00 μB/f.u.